TcTe2P | PBE | relaxed

Calculated values
energy	-4.774	eV/atom
total magnetic moment	0.0	Bohr magnetons per cell

Cell: 3.100 3.100 9.749 Å, 90.00 90.00 116.00°
Fractional positions:
Tc 0.000 0.000 0.000
Te 0.500 0.500 0.223
Te 0.500 0.500 0.777
P 0.000 0.000 0.500